## Ag2SnO3 (SCAN)

Data for Ag2SnO3 at its PBEsol-relaxed geometry.

```
24
Lattice="5.645 0.000 0.000 -2.823 4.889 0.000 0.000 0.000 12.666" Properties=species:S:1:pos:R:3 pbc="T T T"
Ag -0.896 1.552 0.000
Ag -1.926 3.337 6.333
Ag 1.793 0.000 0.000
Ag 0.896 1.552 6.333
Ag 0.000 3.259 9.499
Ag 2.823 1.630 3.166
Ag 3.853 0.000 6.333
Ag 1.926 3.337 0.000
Sn 0.000 0.000 3.166
Sn 0.000 0.000 9.499
Sn 0.000 3.259 3.166
Sn 2.823 1.630 9.499
O -0.660 1.631 2.044
O -1.740 3.502 4.289
O 0.660 1.631 4.289
O -1.080 4.645 2.044
O 1.743 0.244 10.622
O 1.083 1.387 8.377
O 1.740 3.502 2.044
O 1.080 4.645 4.289
O 3.903 0.244 8.377
O 2.163 3.258 10.622
O 4.563 1.387 10.622
O 3.483 3.258 8.377
```

Properties
The calculation puts the uncorrected energy at -20.520 eV per atom. Its density is 7.3 Mg/m³.